BaTc3F GGA-PBE optimized geometry; density of states at the Fermi level = 5.87 states/eV/cell; formation energy without anion corrections = 2.800 eV per atom
1.0
-2.685 3.866 -2.502
-4.604 -2.207 1.530
0.074 2.932 4.451
Tc Ba F
3 1 1
direct
0.000 0.000 0.500
0.500 0.000 0.000
0.000 0.500 0.000
0.000 0.000 0.000
0.500 0.500 0.500